# KBa2Na2, optimized geometry, DFT PBEsol
# E: -15.84 eV for the cell shown
# Total magnetization: 0.0 Bohr magnetons per cell
# Energy relative to the elements: 0.06 eV/atom
data_KBa2Na2
_chemical_formula_sum 'K2 Ba4 Na4'
_cell_length_a 5.535
_cell_length_b 9.792
_cell_length_c 9.792
_cell_angle_alpha 90.00
_cell_angle_beta 90.00
_cell_angle_gamma 90.00
_space_group_name_H-M_alt 'P 1'
_space_group_IT_number 1
_space_group_name_Hall 'P 1'
loop_
_atom_site_label
_atom_site_fract_x
_atom_site_fract_y
_atom_site_fract_z
Na1 0.000 0.375 0.875
Na2 0.000 0.625 0.125
Na3 0.000 0.125 0.375
Na4 0.000 0.875 0.625
Ba1 0.500 0.169 0.669
Ba2 0.500 0.331 0.169
Ba3 0.500 0.831 0.331
Ba4 0.500 0.669 0.831
K1 0.000 0.500 0.500
K2 0.000 0.000 0.000

# LiYSe2, optimized geometry, DFT PBEsol
# E: -22.08 eV for the cell shown
# Total magnetization: 0.0 Bohr magnetons per cell
# E_form (uncorrected): -1.398 eV per atom
data_LiYSe2
_chemical_formula_sum 'Li1 Y1 Se2'
_cell_length_a 3.533
_cell_length_b 3.533
_cell_length_c 7.103
_cell_angle_alpha 90.00
_cell_angle_beta 90.00
_cell_angle_gamma 102.06
_space_group_name_H-M_alt 'P 1'
_space_group_IT_number 1
_space_group_name_Hall 'P 1'
loop_
_atom_site_label
_atom_site_fract_x
_atom_site_fract_y
_atom_site_fract_z
Y1 0.500 0.500 0.500
Li1 0.500 0.500 0.000
Se1 0.000 0.000 0.745
Se2 0.000 0.000 0.255

# SnHg2P, optimized geometry, DFT PBEsol
# E: -9.81 eV for the cell shown
# Total magnetization: 0.0 Bohr magnetons per cell
# Energy relative to the elements: 0.34 eV/atom
data_SnHg2P
_chemical_formula_sum 'Sn1 Hg2 P1'
_cell_length_a 4.985
_cell_length_b 4.985
_cell_length_c 4.985
_cell_angle_alpha 60.00
_cell_angle_beta 60.00
_cell_angle_gamma 60.00
_space_group_name_H-M_alt 'P 1'
_space_group_IT_number 1
_space_group_name_Hall 'P 1'
loop_
_atom_site_label
_atom_site_fract_x
_atom_site_fract_y
_atom_site_fract_z
Hg1 0.750 0.750 0.750
Hg2 0.250 0.250 0.250
Sn1 0.500 0.500 0.500
P1 0.000 0.000 0.000

# Ca2LaF7, optimized geometry, DFT PBEsol
# E: -62.95 eV for the cell shown
# Total magnetization: 0.1 Bohr magnetons per cell
# E_form (uncorrected): -3.984 eV per atom
data_Ca2LaF7
_chemical_formula_sum 'Ca2 La1 F7'
_cell_length_a 3.977
_cell_length_b 3.977
_cell_length_c 9.683
_cell_angle_alpha 89.98
_cell_angle_beta 89.98
_cell_angle_gamma 60.03
_space_group_name_H-M_alt 'P 1'
_space_group_IT_number 1
_space_group_name_Hall 'P 1'
loop_
_atom_site_label
_atom_site_fract_x
_atom_site_fract_y
_atom_site_fract_z
F1 0.651 0.651 0.877
F2 0.318 0.318 0.571
F3 0.984 0.984 0.735
F4 0.651 0.651 0.414
F5 0.984 0.984 0.259
F6 0.317 0.317 0.024
F7 0.651 0.651 0.129
Ca1 0.651 0.651 0.646
Ca2 0.318 0.318 0.330
La1 0.984 0.984 0.000

# K3ErCl6, optimized geometry, DFT PBEsol
# E: -166.38 eV for the cell shown
# Total magnetization: 0.0 Bohr magnetons per cell
# E_form (uncorrected): -2.122 eV per atom
data_K3ErCl6
_chemical_formula_sum 'K12 Er4 Cl24'
_cell_length_a 7.672
_cell_length_b 12.364
_cell_length_c 12.910
_cell_angle_alpha 109.76
_cell_angle_beta 90.00
_cell_angle_gamma 90.00
_space_group_name_H-M_alt 'P 1'
_space_group_IT_number 1
_space_group_name_Hall 'P 1'
loop_
_atom_site_label
_atom_site_fract_x
_atom_site_fract_y
_atom_site_fract_z
K1 0.080 0.390 0.177
K2 0.920 0.610 0.823
K3 0.057 0.269 0.816
K4 0.443 0.769 0.816
K5 0.958 0.126 0.389
K6 0.943 0.731 0.184
K7 0.042 0.874 0.611
K8 0.580 0.110 0.823
K9 0.557 0.231 0.184
K10 0.420 0.890 0.177
K11 0.542 0.626 0.389
K12 0.458 0.374 0.611
Cl1 0.792 0.075 0.606
Cl2 0.170 0.651 0.653
Cl3 0.203 0.108 0.164
Cl4 0.468 0.855 0.602
Cl5 0.369 0.305 0.001
Cl6 0.670 0.849 0.347
Cl7 0.730 0.499 0.146
Cl8 0.297 0.608 0.164
Cl9 0.631 0.695 0.999
Cl10 0.703 0.392 0.836
Cl11 0.330 0.151 0.653
Cl12 0.830 0.349 0.347
Cl13 0.797 0.892 0.836
Cl14 0.032 0.355 0.602
Cl15 0.708 0.575 0.606
Cl16 0.968 0.645 0.398
Cl17 0.532 0.145 0.398
Cl18 0.292 0.425 0.394
Cl19 0.270 0.501 0.854
Cl20 0.230 0.001 0.854
Cl21 0.131 0.805 0.001
Cl22 0.208 0.925 0.394
Cl23 0.869 0.195 0.999
Cl24 0.770 0.999 0.146
Er1 0.500 0.000 0.500
Er2 0.000 0.500 0.500
Er3 0.500 0.500 0.000
Er4 0.000 0.000 0.000

# LiSnO2F, optimized geometry, DFT PBEsol
# E: -24.65 eV for the cell shown
# Total magnetization: 0.4 Bohr magnetons per cell
# E_form (uncorrected): -1.199 eV per atom
data_LiSnO2F
_chemical_formula_sum 'Li1 Sn1 O2 F1'
_cell_length_a 3.377
_cell_length_b 3.724
_cell_length_c 3.724
_cell_angle_alpha 90.00
_cell_angle_beta 90.00
_cell_angle_gamma 90.00
_space_group_name_H-M_alt 'P 1'
_space_group_IT_number 1
_space_group_name_Hall 'P 1'
loop_
_atom_site_label
_atom_site_fract_x
_atom_site_fract_y
_atom_site_fract_z
Li1 0.000 0.000 0.000
O1 0.000 0.000 0.500
O2 0.000 0.500 0.000
F1 0.500 0.000 0.000
Sn1 0.500 0.500 0.500

# TaAlZn2, optimized geometry, DFT PBEsol
# E: -19.91 eV for the cell shown
# Total magnetization: 0.0 Bohr magnetons per cell
# Energy relative to the elements: -0.03 eV/atom
data_TaAlZn2
_chemical_formula_sum 'Ta1 Al1 Zn2'
_cell_length_a 2.792
_cell_length_b 4.897
_cell_length_c 4.897
_cell_angle_alpha 113.43
_cell_angle_beta 90.00
_cell_angle_gamma 90.00
_space_group_name_H-M_alt 'P 1'
_space_group_IT_number 1
_space_group_name_Hall 'P 1'
loop_
_atom_site_label
_atom_site_fract_x
_atom_site_fract_y
_atom_site_fract_z
Al1 0.500 0.000 0.000
Zn1 0.000 0.500 0.000
Zn2 0.000 0.000 0.500
Ta1 0.500 0.500 0.500

# RbGe3Bi, optimized geometry, DFT PBEsol
# E: -12.11 eV for the cell shown
# Total magnetization: 0.0 Bohr magnetons per cell
# Energy relative to the elements: 1.60 eV/atom
data_RbGe3Bi
_chemical_formula_sum 'Rb1 Ge3 Bi1'
_cell_length_a 5.437
_cell_length_b 5.437
_cell_length_c 5.437
_cell_angle_alpha 90.00
_cell_angle_beta 90.00
_cell_angle_gamma 90.00
_space_group_name_H-M_alt 'P 1'
_space_group_IT_number 1
_space_group_name_Hall 'P 1'
loop_
_atom_site_label
_atom_site_fract_x
_atom_site_fract_y
_atom_site_fract_z
Ge1 0.000 0.000 0.500
Ge2 0.000 0.500 0.000
Ge3 0.500 0.000 0.000
Bi1 0.500 0.500 0.500
Rb1 0.000 0.000 0.000

# Be2CrTc, optimized geometry, DFT PBEsol
# E: -29.59 eV for the cell shown
# Total magnetization: 0.0 Bohr magnetons per cell
# Energy above the lowest structure with this stoichiometry: 0.0380 eV/atom
# Energy relative to the elements: -0.02 eV/atom
data_Be2CrTc
_chemical_formula_sum 'Be2 Cr1 Tc1'
_cell_length_a 2.536
_cell_length_b 3.822
_cell_length_c 4.395
_cell_angle_alpha 90.00
_cell_angle_beta 98.47
_cell_angle_gamma 90.00
_space_group_name_H-M_alt 'P 1'
_space_group_IT_number 1
_space_group_name_Hall 'P 1'
loop_
_atom_site_label
_atom_site_fract_x
_atom_site_fract_y
_atom_site_fract_z
Be1 0.874 0.500 0.253
Be2 0.870 0.000 0.001
Cr1 0.471 0.000 0.479
Tc1 0.285 0.500 0.767

# SrHfPb3, optimized geometry, DFT PBEsol
# E: -24.50 eV for the cell shown
# Total magnetization: 0.0 Bohr magnetons per cell
# Energy relative to the elements: -0.03 eV/atom
data_SrHfPb3
_chemical_formula_sum 'Sr1 Hf1 Pb3'
_cell_length_a 5.560
_cell_length_b 5.560
_cell_length_c 5.560
_cell_angle_alpha 90.00
_cell_angle_beta 90.00
_cell_angle_gamma 90.00
_space_group_name_H-M_alt 'P 1'
_space_group_IT_number 1
_space_group_name_Hall 'P 1'
loop_
_atom_site_label
_atom_site_fract_x
_atom_site_fract_y
_atom_site_fract_z
Pb1 0.000 0.500 0.000
Pb2 0.000 0.000 0.500
Pb3 0.500 0.000 0.000
Sr1 0.500 0.500 0.500
Hf1 0.000 0.000 0.000

# TaCl, optimized geometry, DFT PBEsol
# E: -31.06 eV for the cell shown
# Total magnetization: 0.0 Bohr magnetons per cell
# E_form (uncorrected): -0.486 eV per atom
data_TaCl
_chemical_formula_sum 'Ta2 Cl2'
_cell_length_a 2.945
_cell_length_b 2.945
_cell_length_c 8.496
_cell_angle_alpha 90.00
_cell_angle_beta 90.00
_cell_angle_gamma 90.00
_space_group_name_H-M_alt 'P 1'
_space_group_IT_number 1
_space_group_name_Hall 'P 1'
loop_
_atom_site_label
_atom_site_fract_x
_atom_site_fract_y
_atom_site_fract_z
Ta1 0.500 0.000 0.627
Ta2 0.000 0.500 0.373
Cl1 0.500 0.000 0.180
Cl2 0.000 0.500 0.820

# ZrMnP3, optimized geometry, DFT PBEsol
# E: -32.65 eV for the cell shown
# Total magnetization: 4.6 Bohr magnetons per cell
# Energy relative to the elements: 0.71 eV/atom
data_ZrMnP3
_chemical_formula_sum 'Zr1 Mn1 P3'
_cell_length_a 4.914
_cell_length_b 4.914
_cell_length_c 4.914
_cell_angle_alpha 90.00
_cell_angle_beta 90.00
_cell_angle_gamma 90.00
_space_group_name_H-M_alt 'P 1'
_space_group_IT_number 1
_space_group_name_Hall 'P 1'
loop_
_atom_site_label
_atom_site_fract_x
_atom_site_fract_y
_atom_site_fract_z
P1 0.500 0.000 0.000
P2 0.000 0.000 0.500
P3 0.000 0.500 0.000
Mn1 0.500 0.500 0.500
Zr1 0.000 0.000 0.000

# YTl2Se, optimized geometry, DFT PBEsol
# E: -18.22 eV for the cell shown
# Total magnetization: 0.0 Bohr magnetons per cell
# E_form (uncorrected): -0.571 eV per atom
# Energy above the lowest structure with this stoichiometry: 0.0567 eV/atom
data_YTl2Se
_chemical_formula_sum 'Y1 Tl2 Se1'
_cell_length_a 3.747
_cell_length_b 5.342
_cell_length_c 6.126
_cell_angle_alpha 115.85
_cell_angle_beta 107.81
_cell_angle_gamma 90.00
_space_group_name_H-M_alt 'P 1'
_space_group_IT_number 1
_space_group_name_Hall 'P 1'
loop_
_atom_site_label
_atom_site_fract_x
_atom_site_fract_y
_atom_site_fract_z
Y1 0.528 0.528 0.056
Se1 0.226 0.726 0.453
Tl1 0.761 0.261 0.522
Tl2 0.985 0.985 0.969

# In2CS, optimized geometry, DFT PBEsol
# E: -38.72 eV for the cell shown
# Total magnetization: 0.0 Bohr magnetons per cell
# E_form (uncorrected): 0.159 eV per atom
data_In2CS
_chemical_formula_sum 'In4 C2 S2'
_cell_length_a 5.530
_cell_length_b 5.530
_cell_length_c 6.623
_cell_angle_alpha 114.67
_cell_angle_beta 114.67
_cell_angle_gamma 90.00
_space_group_name_H-M_alt 'P 1'
_space_group_IT_number 1
_space_group_name_Hall 'P 1'
loop_
_atom_site_label
_atom_site_fract_x
_atom_site_fract_y
_atom_site_fract_z
In1 0.806 0.375 0.250
In2 0.625 0.556 0.750
In3 0.444 0.875 0.250
In4 0.125 0.194 0.750
C1 0.750 0.250 0.500
C2 0.500 0.500 0.000
S1 0.000 0.000 0.000
S2 0.250 0.750 0.500

# CoGe2, optimized geometry, DFT PBEsol
# E: -73.32 eV for the cell shown
# Total magnetization: 0.0 Bohr magnetons per cell
# Energy relative to the elements: -0.24 eV/atom
data_CoGe2
_chemical_formula_sum 'Co4 Ge8'
_cell_length_a 5.582
_cell_length_b 6.059
_cell_length_c 5.584
_cell_angle_alpha 90.00
_cell_angle_beta 90.00
_cell_angle_gamma 117.43
_space_group_name_H-M_alt 'P 1'
_space_group_IT_number 1
_space_group_name_Hall 'P 1'
loop_
_atom_site_label
_atom_site_fract_x
_atom_site_fract_y
_atom_site_fract_z
Ge1 0.159 0.000 0.159
Ge2 0.002 0.500 0.250
Ge3 0.998 0.500 0.750
Ge4 0.341 0.000 0.659
Ge5 0.841 0.000 0.841
Ge6 0.502 0.500 0.250
Ge7 0.498 0.500 0.750
Ge8 0.659 0.000 0.341
Co1 0.383 0.767 0.000
Co2 0.883 0.767 0.500
Co3 0.117 0.233 0.500
Co4 0.617 0.233 0.000

# MgZrSi, optimized geometry, DFT PBEsol
# E: -17.16 eV for the cell shown
# Total magnetization: 0.0 Bohr magnetons per cell
# E_form (uncorrected): -0.202 eV per atom
data_MgZrSi
_chemical_formula_sum 'Mg1 Zr1 Si1'
_cell_length_a 3.169
_cell_length_b 3.169
_cell_length_c 6.131
_cell_angle_alpha 102.17
_cell_angle_beta 102.17
_cell_angle_gamma 100.60
_space_group_name_H-M_alt 'P 1'
_space_group_IT_number 1
_space_group_name_Hall 'P 1'
loop_
_atom_site_label
_atom_site_fract_x
_atom_site_fract_y
_atom_site_fract_z
Zr1 0.684 0.684 0.368
Mg1 0.984 0.984 0.968
Si1 0.332 0.332 0.663

# MgReOs, optimized geometry, DFT PBEsol
# E: -26.65 eV for the cell shown
# Total magnetization: 0.0 Bohr magnetons per cell
# Energy relative to the elements: 0.20 eV/atom
data_MgReOs
_chemical_formula_sum 'Mg1 Re1 Os1'
_cell_length_a 2.780
_cell_length_b 2.780
_cell_length_c 6.882
_cell_angle_alpha 90.00
_cell_angle_beta 90.00
_cell_angle_gamma 120.00
_space_group_name_H-M_alt 'P 1'
_space_group_IT_number 1
_space_group_name_Hall 'P 1'
loop_
_atom_site_label
_atom_site_fract_x
_atom_site_fract_y
_atom_site_fract_z
Os1 0.333 0.667 0.650
Re1 0.667 0.333 0.353
Mg1 0.000 0.000 0.997

# TaCu2PbC, optimized geometry, DFT PBEsol
# E: -22.88 eV for the cell shown
# Total magnetization: 0.0 Bohr magnetons per cell
# Energy relative to the elements: 2.40 eV/atom
data_TaCu2PbC
_chemical_formula_sum 'Ta1 Cu2 Pb1 C1'
_cell_length_a 4.195
_cell_length_b 4.700
_cell_length_c 4.700
_cell_angle_alpha 90.00
_cell_angle_beta 90.00
_cell_angle_gamma 90.00
_space_group_name_H-M_alt 'P 1'
_space_group_IT_number 1
_space_group_name_Hall 'P 1'
loop_
_atom_site_label
_atom_site_fract_x
_atom_site_fract_y
_atom_site_fract_z
Cu1 0.000 0.000 0.500
Cu2 0.000 0.500 0.000
Pb1 0.000 0.000 0.000
Ta1 0.500 0.500 0.500
C1 0.500 0.000 0.000

# CdCoTc2, optimized geometry, DFT PBEsol
# E: -28.53 eV for the cell shown
# Total magnetization: 1.9 Bohr magnetons per cell
# Energy relative to the elements: 0.73 eV/atom
data_CdCoTc2
_chemical_formula_sum 'Cd1 Co1 Tc2'
_cell_length_a 3.060
_cell_length_b 4.323
_cell_length_c 4.323
_cell_angle_alpha 90.00
_cell_angle_beta 90.00
_cell_angle_gamma 90.00
_space_group_name_H-M_alt 'P 1'
_space_group_IT_number 1
_space_group_name_Hall 'P 1'
loop_
_atom_site_label
_atom_site_fract_x
_atom_site_fract_y
_atom_site_fract_z
Cd1 0.500 0.500 0.500
Co1 0.500 0.000 0.000
Tc1 0.000 0.500 0.000
Tc2 0.000 0.000 0.500

# NbCI3, optimized geometry, DFT PBEsol
# E: -18.61 eV for the cell shown
# Total magnetization: 2.9 Bohr magnetons per cell
# E_form (uncorrected): 1.432 eV per atom
data_NbCI3
_chemical_formula_sum 'Nb1 C1 I3'
_cell_length_a 5.457
_cell_length_b 5.457
_cell_length_c 5.457
_cell_angle_alpha 90.00
_cell_angle_beta 90.00
_cell_angle_gamma 90.00
_space_group_name_H-M_alt 'P 1'
_space_group_IT_number 1
_space_group_name_Hall 'P 1'
loop_
_atom_site_label
_atom_site_fract_x
_atom_site_fract_y
_atom_site_fract_z
I1 0.000 0.000 0.500
I2 0.000 0.500 0.000
I3 0.500 0.000 0.000
C1 0.500 0.500 0.500
Nb1 0.000 0.000 0.000